1.
This record from Alexandria via LeMat-Bulk describes a relaxed structure of Ag5BiS5. The functional is PBE.

abc: 12.122 5.335 7.666
angles: 90.00 108.92 90.00
Space group C2/m (No. 12)
Symmetry-distinct sites (fractional):
Ag1 0.000 0.000 0.000 [2 per cell]
Ag2 0.159 0.500 0.835 [4 per cell]
Ag3 0.161 0.500 0.318 [4 per cell]
Bi1 0.000 0.000 0.500 [2 per cell]
S1 0.000 0.500 0.500 [2 per cell]
S2 0.154 0.000 0.302 [4 per cell]
S3 0.178 0.000 0.841 [4 per cell]

Summary:
* formation energy from raw total energies: -24 meV per atom



2.
This record from Alexandria via LeMat-Bulk describes a relaxed structure of Tm2ZrGa. The functional is PBE.

abc: 4.531 4.531 4.540
angles: 90.00 90.00 90.00
Space group P4/mmm (No. 123)
Symmetry-distinct sites (fractional):
Tm1 0.000 0.500 0.000 [2 per cell]
Zr1 0.000 0.000 0.500 [1 per cell]
Ga1 0.500 0.500 0.500 [1 per cell]

Summary:
* formation energy: -0.9 eV per formula unit
* ΔE to the lowest computed polymorph: 47 meV per atom